1.
MnCr2Rh2 | PBE-GGA | relaxed

Output
As for the magnetization: 4.01 μB/f.u. The calculation puts the energy above the lowest structure with this stoichiometry at 110 meV/atom. The calculation puts the density of states at the Fermi level at 8.23 states/eV/cell. The crystal system is tetragonal. The energy of formation from the pure elements comes out at 0.252 eV per atom.

The structure in CIF format:
```
data_MnCr2Rh2
_chemical_formula_sum 'Mn2 Cr4 Rh4'
_space_group_name_H-M_alt 'I 4/m m m'
_space_group_IT_number 139
_space_group_name_Hall '-I 4 2'
_cell_length_a 3.200
_cell_length_b 3.200
_cell_length_c 13.653
_cell_angle_alpha 90.00
_cell_angle_beta 90.00
_cell_angle_gamma 90.00
loop_
_atom_site_label
_atom_site_fract_x
_atom_site_fract_y
_atom_site_fract_z
Mn1 0.000 0.000 0.000
Cr1 0.000 0.500 0.250
Rh1 0.000 0.000 0.400
```


2.
MnCrRh6 | PBE-GGA | relaxed

Output
As for the magnetization: 3.60 μB/f.u. The calculation puts the density of states at the Fermi level at 9.15 states/eV/cell. The crystal system is tetragonal. The energy of formation from the pure elements comes out at -0.133 eV per atom.

The structure in CIF format:
```
data_MnCrRh6
_chemical_formula_sum 'Mn1 Cr1 Rh6'
_space_group_name_H-M_alt 'P 4/m m m'
_space_group_IT_number 123
_space_group_name_Hall '-P 4 2'
_cell_length_a 5.377
_cell_length_b 5.377
_cell_length_c 3.806
_cell_angle_alpha 90.00
_cell_angle_beta 90.00
_cell_angle_gamma 90.00
loop_
_atom_site_label
_atom_site_fract_x
_atom_site_fract_y
_atom_site_fract_z
Mn1 0.000 0.000 0.000
Cr1 0.500 0.500 0.000
Rh1 0.000 0.500 0.000
Rh2 0.253 0.253 0.500
```


3.
MnCrRh | PBE-GGA | relaxed

Output
As for the magnetization: 0.00 μB/f.u. The calculation puts the energy above the lowest structure with this stoichiometry at 0 meV/atom. The calculation puts the density of states at the Fermi level at 2.46 states/eV/cell. The crystal system is hexagonal. The energy of formation from the pure elements comes out at 0.025 eV per atom.

The structure in CIF format:
```
data_MnCrRh
_chemical_formula_sum 'Mn1 Cr1 Rh1'
_space_group_name_H-M_alt 'P -6 m 2'
_space_group_IT_number 187
_space_group_name_Hall 'P -6 2'
_cell_length_a 4.0354
_cell_length_b 4.0354
_cell_length_c 2.6015
_cell_angle_alpha 90.00
_cell_angle_beta 90.00
_cell_angle_gamma 120.00
loop_
_atom_site_label
_atom_site_fract_x
_atom_site_fract_y
_atom_site_fract_z
Mn1 0.0000 0.0000 0.0000
Cr1 0.3333 0.6667 0.0000
Rh1 0.6667 0.3333 0.5000
```


4.
MnCrRh | PBE-GGA | relaxed

Output
As for the magnetization: 1.36 μB/f.u. The calculation puts the energy above the lowest structure with this stoichiometry at 330 meV/atom. The calculation puts the density of states at the Fermi level at 9.87 states/eV/cell. The crystal system is cubic. The energy of formation from the pure elements comes out at 0.356 eV per atom.

The structure in CIF format:
```
data_MnCrRh
_chemical_formula_sum 'Mn4 Cr4 Rh4'
_space_group_name_H-M_alt 'F -4 3 m'
_space_group_IT_number 216
_space_group_name_Hall 'F -4 2 3'
_cell_length_a 5.670
_cell_length_b 5.670
_cell_length_c 5.670
_cell_angle_alpha 90.00
_cell_angle_beta 90.00
_cell_angle_gamma 90.00
loop_
_atom_site_label
_atom_site_fract_x
_atom_site_fract_y
_atom_site_fract_z
Mn1 0.000 0.000 0.000
Cr1 0.250 0.250 0.250
Rh1 0.000 0.000 0.500
```


5.
MnCrRh3 | PBE-GGA | relaxed

Output
As for the magnetization: 0.20 μB/f.u. The calculation puts the energy above the lowest structure with this stoichiometry at 1404 meV/atom. The calculation puts the density of states at the Fermi level at 9.96 states/eV/cell. The crystal system is cubic. The energy of formation from the pure elements comes out at 1.317 eV per atom.

The structure in CIF format:
```
data_MnCrRh3
_chemical_formula_sum 'Mn1 Cr1 Rh3'
_space_group_name_H-M_alt 'P m -3 m'
_space_group_IT_number 221
_space_group_name_Hall '-P 4 2 3'
_cell_length_a 4.396
_cell_length_b 4.396
_cell_length_c 4.396
_cell_angle_alpha 90.00
_cell_angle_beta 90.00
_cell_angle_gamma 90.00
loop_
_atom_site_label
_atom_site_fract_x
_atom_site_fract_y
_atom_site_fract_z
Mn1 0.000 0.000 0.000
Cr1 0.500 0.500 0.500
Rh1 0.000 0.000 0.500
```


6.
Mn2CrRh | PBE-GGA | relaxed

Output
As for the magnetization: 1.17 μB/f.u. The calculation puts the density of states at the Fermi level at 4.39 states/eV/cell. The crystal system is tetragonal. The energy of formation from the pure elements comes out at 0.035 eV per atom.

The structure in CIF format:
```
data_Mn2CrRh
_chemical_formula_sum 'Mn2 Cr1 Rh1'
_space_group_name_H-M_alt 'P 4 m m'
_space_group_IT_number 99
_space_group_name_Hall 'P 4 -2'
_cell_length_a 2.635
_cell_length_b 2.635
_cell_length_c 7.189
_cell_angle_alpha 90.00
_cell_angle_beta 90.00
_cell_angle_gamma 90.00
loop_
_atom_site_label
_atom_site_fract_x
_atom_site_fract_y
_atom_site_fract_z
Mn1 0.000 0.000 0.000
Mn2 0.500 0.500 0.235
Cr1 0.500 0.500 0.755
Rh1 0.000 0.000 0.507
```